DFT (meta-GGA SCAN) results for a PBEsol-optimized structure of Te2Pb3Br2O6.

The structure in POSCAR format:
```
Te2Pb3Br2O6
1.0
8.3794 -2.8251 0.0000
8.3794 2.8251 0.0000
-2.5622 0.0000 10.6162
Te Pb Br O
4 6 4 12
direct
0.1021 0.1021 0.0502
0.3704 0.3704 0.4075
0.6296 0.6296 0.5925
0.8979 0.8979 0.9498
0.1635 0.1635 0.3955
0.2435 0.2435 0.7946
0.4768 0.4768 0.7989
0.5232 0.5232 0.2011
0.7565 0.7565 0.2054
0.8365 0.8365 0.6045
0.0428 0.0428 0.6939
0.3175 0.3175 0.0987
0.6825 0.6825 0.9013
0.9572 0.9572 0.3061
0.0484 0.5282 0.3874
0.1023 0.6340 0.8149
0.2164 0.7836 0.0000
0.3660 0.8977 0.1851
0.3928 0.3928 0.5844
0.4718 0.9516 0.6126
0.5282 0.0484 0.3874
0.6072 0.6072 0.4156
0.6340 0.1023 0.8149
0.7836 0.2164 0.0000
0.8977 0.3660 0.1851
0.9516 0.4718 0.6126
```

Results
Total moment = 0.0 μB/f.u.
Fermi-level density of states = 0.000 states/eV/atom
SG = C2/m
Formation energy from raw total energies = -1.188 eV per atom
Volume = 19.33 A^3/atom